A plane-wave DFT calculation with PBE was carried out for an optimized crystal structure of LiY5Ag6.

Values from the calculation:
* final energy: -4.556 eV/atom

a = 8.8278 Å, b = 15.2550 Å, c = 5.0803 Å
α = 90.00°, β = 125.08°, γ = 90.00°
Space group C2/m (No. 12)
One atom of each set of equivalent atoms:
Li: 0.0000 0.0000 0.0000
Y: 0.0000 0.1651 0.5000
Y: 0.0000 0.3327 0.0000
Y: 0.0000 0.5000 0.5000
Ag: 0.2461 0.0000 0.7461
Ag: 0.2476 0.1649 0.2478

=====

A plane-wave DFT calculation with PBE was carried out for an optimized crystal structure of DyHoCdSn.

Values from the calculation:
* final energy: -4.011 eV/atom

a = 7.4558 Å, b = 7.4558 Å, c = 7.4558 Å
α = 90.00°, β = 90.00°, γ = 90.00°
Space group F-43m (No. 216)
One atom of each set of equivalent atoms:
Dy: 0.0000 0.0000 0.0000
Ho: 0.0000 0.0000 0.5000
Cd: 0.2500 0.2500 0.2500
Sn: 0.2500 0.2500 0.7500

=====

A plane-wave DFT calculation with PBE was carried out for an optimized crystal structure of ZrScIrSe2.

Values from the calculation:
* raw formation energy: 820 meV per atom
* final energy: -5.322 eV/atom

a = 4.8108 Å, b = 4.8108 Å, c = 5.5835 Å
α = 90.00°, β = 90.00°, γ = 90.00°
Space group P4/mmm (No. 123)
One atom of each set of equivalent atoms:
Zr: 0.0000 0.0000 0.0000
Sc: 0.0000 0.0000 0.5000
Ir: 0.5000 0.5000 0.0000
Se: 0.0000 0.5000 0.5000

=====

A plane-wave DFT calculation with PBE was carried out for an optimized crystal structure of Pr6SiOs2Cl3.

Values from the calculation:
* raw formation energy: -882 meV per atom
* final energy: -6.057 eV/atom

a = 7.2758 Å, b = 12.6302 Å, c = 7.8553 Å
α = 90.00°, β = 108.08°, γ = 90.00°
Space group C2/m (No. 12)
One atom of each set of equivalent atoms:
Pr: 0.2206 0.0000 0.2103
Pr: 0.2433 0.3251 0.2089
Si: 0.0000 0.5000 0.0000
Os: 0.0000 0.1663 0.0000
Cl: 0.0000 0.0000 0.5000
Cl: 0.0000 0.3352 0.5000

=====

A plane-wave DFT calculation with PBE was carried out for an optimized crystal structure of YMg2Os.

Values from the calculation:
* ΔE to the lowest computed polymorph: 32.0 kJ per mole of atoms
* final energy: -4.905 eV/atom

a = 5.7119 Å, b = 9.0621 Å, c = 3.1050 Å
α = 90.00°, β = 90.00°, γ = 90.00°
Space group Cmmm (No. 65)
One atom of each set of equivalent atoms:
Y: 0.0000 0.0000 0.0000
Mg: 0.2500 0.2500 0.5000
Os: 0.0000 0.5000 0.0000

=====

A plane-wave DFT calculation with PBE was carried out for an optimized crystal structure of MgZrTe2N.

Values from the calculation:
* ΔE to the lowest computed polymorph: 52.4 kJ per mole of atoms
* raw formation energy: 393 meV per atom
* final energy: -4.557 eV/atom

a = 5.4803 Å, b = 5.4803 Å, c = 3.8760 Å
α = 90.00°, β = 90.00°, γ = 90.00°
Space group P4/mmm (No. 123)
One atom of each set of equivalent atoms:
Mg: 0.0000 0.0000 0.0000
Zr: 0.5000 0.5000 0.5000
Te: 0.0000 0.5000 0.0000
N: 0.0000 0.0000 0.5000

=====

A plane-wave DFT calculation with PBE was carried out for an optimized crystal structure of ThGaPb.

Values from the calculation:
* ΔE to the lowest computed polymorph: 1.3 kJ per mole of atoms
* final energy: -4.914 eV/atom

a = 4.7443 Å, b = 4.7443 Å, c = 4.1972 Å
α = 90.00°, β = 90.00°, γ = 120.00°
Space group P3m1 (No. 156)
One atom of each set of equivalent atoms:
Th: 0.0000 0.0000 0.0000
Ga: 0.6667 0.3333 0.3505
Pb: 0.3333 0.6667 0.5531

=====

A plane-wave DFT calculation with PBE was carried out for an optimized crystal structure of CeSmPt6.

Values from the calculation:
* ΔE to the lowest computed polymorph: 28.4 kJ per mole of atoms
* final energy: -6.548 eV/atom

a = 5.3548 Å, b = 5.3548 Å, c = 5.3548 Å
α = 90.00°, β = 90.00°, γ = 90.00°
Space group Pm-3 (No. 200)
One atom of each set of equivalent atoms:
Ce: 0.0000 0.0000 0.0000
Sm: 0.5000 0.5000 0.5000
Pt: 0.0000 0.5000 0.2486

=====

Q: Which mass density values were calculated for the entries above? A: 6.52; 8.95; 6.25; 6.58; 6.77; 5.49; 10.33; 15.80, in g/cm3.